1.
# PrNd14Pb, optimized geometry, DFT PBE
data_PrNd14Pb
_cell_length_a 7.3007
_cell_length_b 7.3007
_cell_length_c 10.3117
_cell_angle_alpha 90.00
_cell_angle_beta 90.00
_cell_angle_gamma 90.00
_symmetry_space_group_name_H-M 'P 1'
_symmetry_Int_Tables_number 1
_symmetry_space_group_name_Hall 'P 1'
loop_
_atom_site_label
_atom_site_fract_x
_atom_site_fract_y
_atom_site_fract_z
Pr1 0.0000 0.0000 0.0000
Nd1 0.0000 0.0000 0.5000
Nd2 0.0000 0.5000 0.0000
Nd3 0.0000 0.5000 0.5000
Nd4 0.2535 0.2535 0.2459
Nd5 0.2535 0.2535 0.7541
Nd6 0.2535 0.7465 0.2459
Nd7 0.2535 0.7465 0.7541
Nd8 0.5000 0.0000 0.0000
Nd9 0.5000 0.0000 0.5000
Nd10 0.5000 0.5000 0.5000
Nd11 0.7465 0.2535 0.2459
Nd12 0.7465 0.2535 0.7541
Nd13 0.7465 0.7465 0.2459
Nd14 0.7465 0.7465 0.7541
Pb1 0.5000 0.5000 0.0000
# Energy relative to the elements   -0.046 eV/atom
# VASP energy   -0.174 hartree per atom



2.
# Pr3NdPb2, optimized geometry, DFT PBE
data_Pr3NdPb2
_cell_length_a 4.7229
_cell_length_b 4.7229
_cell_length_c 9.0128
_cell_angle_alpha 90.00
_cell_angle_beta 90.00
_cell_angle_gamma 90.00
_symmetry_space_group_name_H-M 'P 1'
_symmetry_Int_Tables_number 1
_symmetry_space_group_name_Hall 'P 1'
loop_
_atom_site_label
_atom_site_fract_x
_atom_site_fract_y
_atom_site_fract_z
Pr1 0.0000 0.0000 0.0000
Pr2 0.0000 0.5000 0.6511
Pr3 0.5000 0.0000 0.3489
Nd1 0.5000 0.5000 0.0000
Pb1 0.0000 0.5000 0.2827
Pb2 0.5000 0.0000 0.7173
# Excess energy over the best structure of this formula in the dataset   0.00 eV/f.u.
# Energy relative to the elements   -0.444 eV/atom
# VASP energy   -0.179 hartree per atom